Record 1
VASP calculation (PBE-GGA) on a relaxed structure of Tb2Ho2Sb3.

Space group: I2_13 (199)
E_tot (eV/atom): -5.39
DOS(E_F) (states/eV/atom): 1.0083
M_tot (μB/f.u.): 0.0
Energy relative to the elements, uncorrected (eV per atom): -0.991
Energy relative to the lowest polymorph listed for this composition (meV/atom): 0

Cell: 7.9601 7.9601 7.9601 Å, 109.47 109.47 109.47°
Fractional coordinates of all 14 atoms:
Tb (0.5000, 0.3540, 0.5000)
Tb (0.0000, 0.0000, 0.3540)
Tb (0.6460, 0.1460, 0.1460)
Tb (0.8540, 0.5000, 0.0000)
Ho (0.0000, 0.0000, 0.8564)
Ho (0.5000, 0.8564, 0.5000)
Ho (0.1436, 0.6436, 0.6436)
Ho (0.3564, 0.5000, 0.0000)
Sb (0.7500, 0.6265, 0.3765)
Sb (0.2500, 0.8735, 0.1235)
Sb (0.6235, 0.7500, 0.8735)
Sb (0.8765, 0.2500, 0.6265)
Sb (0.3735, 0.1235, 0.7500)
Sb (0.1265, 0.3765, 0.2500)

Record 2
VASP calculation (PBE-GGA) on a relaxed structure of Na2S2F.

Space group: P4/mbm (127)
E_tot (eV/atom): -3.75
DOS(E_F) (states/eV/atom): 0.0072
M_tot (μB/f.u.): 0.0
Energy relative to the elements, uncorrected (eV per atom): -1.198
Energy relative to the lowest polymorph listed for this composition (meV/atom): 0

Cell: 6.3818 6.3818 4.8847 Å, 90.00 90.00 90.00°
Fractional coordinates of all 10 atoms:
Na (0.2897, 0.7897, 0.0000)
Na (0.7897, 0.7103, 0.0000)
Na (0.7103, 0.2103, 0.0000)
Na (0.2103, 0.2897, 0.0000)
S (0.1116, 0.6116, 0.5000)
S (0.6116, 0.8884, 0.5000)
S (0.8884, 0.3884, 0.5000)
S (0.3884, 0.1116, 0.5000)
F (0.0000, 0.0000, 0.0000)
F (0.5000, 0.5000, 0.0000)

Record 3
VASP calculation (PBE-GGA) on a relaxed structure of PrAg4Ge.

Space group: F-43m (216)
E_tot (eV/atom): -3.57
DOS(E_F) (states/eV/atom): 0.8020
M_tot (μB/f.u.): 0.0

Cell: 5.6354 5.6354 5.6354 Å, 60.00 60.00 60.00°
Fractional coordinates of all 6 atoms:
Pr (0.2500, 0.2500, 0.2500)
Ge (0.0000, 0.0000, 0.0000)
Ag (0.6252, 0.6252, 0.1243)
Ag (0.6252, 0.1243, 0.6252)
Ag (0.6252, 0.6252, 0.6252)
Ag (0.1243, 0.6252, 0.6252)

What did the third record say?
VASP calculation (PBE-GGA) on a relaxed structure of PrAg4Ge.

Space group: F-43m (216)
E_tot (eV/atom): -3.57
DOS(E_F) (states/eV/atom): 0.8020
M_tot (μB/f.u.): 0.0

Cell: 5.6354 5.6354 5.6354 Å, 60.00 60.00 60.00°
Fractional coordinates of all 6 atoms:
Pr (0.2500, 0.2500, 0.2500)
Ge (0.0000, 0.0000, 0.0000)
Ag (0.6252, 0.6252, 0.1243)
Ag (0.6252, 0.1243, 0.6252)
Ag (0.6252, 0.6252, 0.6252)
Ag (0.1243, 0.6252, 0.6252)

Question: The highest E_tot belongs to which entry?
Answer: PrAg4Ge